# 1
First-principles (GGA-PBE) data for an optimized crystal structure of LiLa2P, as listed in Alexandria.

Results
Energy of formation from the pure elements in eV/atom: -0.72
Calculated volume in Å³/f.u.: 101.4
Magnetization in μB/atom: 0.18

POSCAR file:
```
LiLa2P
1.0
7.357 0.026 0.002
6.092 4.125 0.002
2.364 0.730 3.361
P Li La
1 1 2
Cartesian
4.736 1.462 0.886
7.001 2.161 1.732
2.308 0.712 2.756
12.040 3.716 3.033
```

=====

# 2
First-principles (GGA-PBE) data for an optimized crystal structure of LiLa2P, as listed in Alexandria.

Results
Energy of formation from the pure elements in eV/atom: -0.50
Calculated volume in Å³/f.u.: 96.5
Magnetization in μB/atom: 0.00

POSCAR file:
```
LiLa2P
1.0
-4.181 -2.438 -3.476
-0.229 -5.945 -0.326
0.258 4.136 4.281
La Li P
2 1 1
Cartesian
0.000 0.000 0.000
-1.088 -3.000 1.027
-2.205 -4.192 -1.901
-3.064 -1.247 -0.548
```

=====

# 3
First-principles (GGA-PBE) data for an optimized crystal structure of LiLa2P, as listed in Alexandria.

Results
Energy of formation from the pure elements in eV/atom: -0.66
Calculated volume in Å³/f.u.: 128.5
Magnetization in μB/atom: 0.00

POSCAR file:
```
LiLa2P
1.0
-9.156 0.102 1.284
-8.046 -3.413 3.017
-7.716 0.076 5.093
La Li P
2 1 1
Cartesian
-0.509 -0.066 0.192
-11.949 -1.551 4.505
-6.229 -0.809 2.349
-18.688 -2.426 7.046
```

=====

# 4
First-principles (GGA-PBE) data for an optimized crystal structure of LiLa2P, as listed in Alexandria.

Results
Energy of formation from the pure elements in eV/atom: -0.47
Calculated volume in Å³/f.u.: 113.0
Magnetization in μB/atom: 0.00

POSCAR file:
```
LiLa2P
1.0
5.063 0.000 0.000
0.000 5.063 0.000
0.000 0.000 8.820
Li La P
2 4 2
Cartesian
2.531 0.000 7.192
0.000 2.531 1.627
2.531 0.000 1.354
0.000 2.531 7.465
0.000 0.000 4.410
2.531 2.531 4.410
0.000 0.000 0.000
2.531 2.531 0.000
```

=====

# 5
First-principles (GGA-PBE) data for an optimized crystal structure of LiLaP, as listed in Alexandria.

Results
Energy of formation from the pure elements in eV/atom: -0.75
Calculated volume in Å³/f.u.: 61.7
Magnetization in μB/atom: 0.00

POSCAR file:
```
LiLaP
1.0
-4.361 -0.049 0.808
-1.506 -1.272 3.973
-1.778 2.985 2.757
La Li P
1 1 1
Cartesian
-3.822 0.832 3.769
-5.734 1.248 5.654
0.000 0.000 0.000
```

=====

# 6
First-principles (GGA-PBE) data for an optimized crystal structure of LiLa2P, as listed in Alexandria.

Results
Energy of formation from the pure elements in eV/atom: -0.59
Calculated volume in Å³/f.u.: 127.8
Magnetization in μB/atom: 0.04

POSCAR file:
```
LiLa2P
1.0
-0.099 -5.765 0.886
7.933 -0.102 0.227
-0.290 1.682 10.906
P Li La
4 4 8
Cartesian
6.635 -0.822 4.996
4.777 -2.842 10.845
0.909 -3.363 7.023
2.767 -1.343 1.174
1.338 0.032 9.955
2.159 -3.701 4.966
6.205 -4.217 2.064
5.385 -0.484 7.053
1.049 -0.504 6.435
2.634 -4.247 1.468
6.495 -3.681 5.584
4.909 0.062 10.551
4.127 -0.985 3.654
7.352 -3.071 9.648
3.417 -3.200 8.365
0.191 -1.114 2.371
```

=====

# 7
First-principles (GGA-PBE) data for an optimized crystal structure of LiLa2PPb, as listed in Alexandria.

Results
Energy of formation from the pure elements in eV/atom: -0.80
Calculated volume in Å³/f.u.: 149.7
Magnetization in μB/atom: 0.00
Polymorph energy (0 for the lowest one) in meV/atom: 75

POSCAR file:
```
LiLa2PPb
1.0
-1.316 5.190 -1.917
-5.056 -1.928 -1.751
-1.829 1.057 4.118
Pb P Li La
1 1 1 2
Cartesian
-4.100 2.159 0.225
0.000 0.000 0.000
-0.915 0.528 2.059
-2.528 -0.964 -0.875
-0.658 2.595 -0.958
```

=====

# 8
First-principles (GGA-PBE) data for an optimized crystal structure of LiLa2PPb, as listed in Alexandria.

Results
Energy of formation from the pure elements in eV/atom: -0.87
Calculated volume in Å³/f.u.: 140.8
Magnetization in μB/atom: 0.00
Polymorph energy (0 for the lowest one) in meV/atom: 0

POSCAR file:
```
LiLa2PPb
1.0
4.407 0.000 0.000
0.000 7.691 0.459
0.000 -2.752 8.147
Li La P Pb
2 4 2 2
Cartesian
1.102 2.394 5.624
3.305 2.545 2.982
3.305 4.953 5.359
3.305 5.779 0.570
1.102 -0.014 3.248
1.102 -0.840 8.036
1.102 4.272 7.146
3.305 0.667 1.461
1.102 4.334 2.775
3.305 0.605 5.832
```

=====

> Which value of magnetization does entry 5 give?

0.00 μB/atom